Density functional theory data (PBE) for an optimized crystal structure of Pr4HPb2.

a = 6.5918 Å, b = 6.7658 Å, c = 9.7345 Å
α = 90.00°, β = 109.59°, γ = 90.00°
Closest atoms and distances in Å follow each position.
Element x y z (fractional)
Pr1 0.5337 0.4992 0.2916  1 H 2.34
Pr2 0.1246 0.7500 0.9415  1 H 2.37
Pr3 0.8754 0.2500 0.0585  1 H 2.37
Pr4 0.5337 0.0008 0.2916  1 H 2.34
Pr5 0.9358 0.2500 0.6502  1 H 2.37
Pr6 0.4663 0.9992 0.7084  1 H 2.34
Pr7 0.4663 0.5008 0.7084  1 H 2.34
Pr8 0.0642 0.7500 0.3498  1 H 2.37
H1 0.2810 0.7500 0.1991  4 Pr 2.34-2.37
H2 0.7190 0.2500 0.8009  4 Pr 2.34-2.37
Pb1 0.6857 0.7500 0.0330  9 Pr 3.25-3.59, 1 H 3.55
Pb2 0.3143 0.2500 0.9670  9 Pr 3.25-3.59, 1 H 3.55
Pb3 0.1600 0.2500 0.4007  8 Pr 3.23-3.45
Pb4 0.8400 0.7500 0.5993  8 Pr 3.23-3.45

- Theoretical density: 7.9 g/cm3
- Magnetic moment: 0.00 μB/f.u.
- Excess energy over the best structure of this formula in the dataset: 0.11 kcal/mol of atoms


Density functional theory data (PBE) for an optimized crystal structure of Tl2PW.

a = 5.3058 Å, b = 3.4796 Å, c = 4.8148 Å
α = 88.08°, β = 90.00°, γ = 90.00°
Closest atoms and distances in Å follow each position.
Element x y z (fractional)
Tl1 0.0000 0.2289 0.7486  4 Tl 2.85-3.12, 2 W 3.05, 2 P 3.08
Tl2 0.0000 0.7711 0.2514  4 Tl 2.85-3.12, 2 W 3.05, 2 P 3.08
P1 0.5000 0.5000 0.0000  2 W 2.41
W1 0.5000 0.5000 0.5000  2 P 2.41

- Theoretical density: 11.7 g/cm3
- Magnetic moment: 0.00 μB/f.u.
- E_form: 0.8408 eV/atom
- Excess energy over the best structure of this formula in the dataset: 14.42 kcal/mol of atoms